{"formula": "BaMgIn2Hg5", "functional": "GGA-PBE", "state": "optimized geometry", "formation_enthalpy_0k_mev_per_atom": -138, "lattice": [[-1.2952, -3.5733, 3.6438], [4.8424, 2.5569, 4.2286], [-6.8573, 5.3203, -1.0242]], "species": ["Ba", "Mg", "In", "In", "Hg", "Hg", "Hg", "Hg", "Hg"], "frac_coords": [[0.0000, 0.5000, 0.0000], [0.5000, 0.0000, 0.0000], [0.1902, 0.1902, 0.3804], [0.8098, 0.8098, 0.6196], [0.6466, 0.8814, 0.2931], [0.3534, 0.1186, 0.7069], [0.3534, 0.5883, 0.7069], [0.6466, 0.4117, 0.2931], [0.0000, 0.0000, 0.0000]]}